Density functional theory data (PBE-GGA) for a relaxed SbP2Os crystal.

## Properties
E_form (uncorrected)	2.09	eV per formula unit
E_tot	-6.021	eV/atom
magnetization	0.0	Bohr magnetons per cell

abc: 5.1297 5.1297 5.3357
angles: 90.00 90.00 90.00
Last column: nearest neighbours and their distance in Å.
Space group I4/mmm (No. 139)
One atom of each set of equivalent atoms:
Sb1 0.0000 0.0000 0.0000  4 P 2.56, 2 Os 2.67
P1 0.0000 0.5000 0.0000  2 Sb 2.56, 2 Os 2.56, 2 P 2.67
Os1 0.0000 0.0000 0.5000  4 P 2.56, 2 Sb 2.67